Entry 1:
The following is a PBE calculation of a geometry-optimized Te3PdBr structure, from Alexandria.

```
data_Te3PdBr
_cell_length_a 5.316
_cell_length_b 5.316
_cell_length_c 5.316
_cell_angle_alpha 90.00
_cell_angle_beta 90.00
_cell_angle_gamma 90.00
_space_group_name_H-M_alt 'P m -3 m'
_space_group_IT_number 221
_space_group_name_Hall '-P 4 2 3'
loop_
_atom_site_label
_atom_site_type_symbol
_atom_site_fract_x
_atom_site_fract_y
_atom_site_fract_z
Te1 Te 0.000 0.000 0.500
Pd1 Pd 0.000 0.000 0.000
Br1 Br 0.500 0.500 0.500
```

Formation energy from raw total energies = 0.32 eV/atom
ρ = 6.292 g cm⁻³
Polymorph energy (0 for the lowest one) = 547 meV/atom
DFT total energy = -2.935 eV per atom


Entry 2:
The following is a PBE calculation of a geometry-optimized TmIn2Rh structure, from Alexandria.

```
data_TmIn2Rh
_cell_length_a 15.188
_cell_length_b 8.317
_cell_length_c 5.508
_cell_angle_alpha 90.00
_cell_angle_beta 90.00
_cell_angle_gamma 90.00
_space_group_name_H-M_alt 'P n m a'
_space_group_IT_number 62
loop_
_space_group_symop_operation_xyz
'x,y,z'
'-x,-y,-z'
'-x+1/2,-y,z+1/2'
'x+1/2,y,-z+1/2'
'x+1/2,-y+1/2,-z+1/2'
'-x+1/2,y+1/2,z+1/2'
'-x,y+1/2,-z'
'x,-y+1/2,z'
loop_
_atom_site_label
_atom_site_type_symbol
_atom_site_fract_x
_atom_site_fract_y
_atom_site_fract_z
Tm1 Tm 0.104 0.250 0.241
Tm2 Tm 0.139 0.750 0.462
In1 In 0.037 0.049 0.746
In2 In 0.215 0.546 0.972
Rh1 Rh 0.071 0.750 0.970
Rh2 Rh 0.184 0.250 0.751
```

ρ = 9.574 g cm⁻³
DFT formation energy = -0.586 eV/atom
DFT total energy = -4.911 eV per atom


Entry 3:
The following is a PBE calculation of a geometry-optimized Tb2Ni12P3Rh structure, from Alexandria.

```
data_Tb2Ni12P3Rh
_cell_length_a 8.5298
_cell_length_b 8.5298
_cell_length_c 11.5997
_cell_angle_alpha 90.00
_cell_angle_beta 90.00
_cell_angle_gamma 120.00
_space_group_name_H-M_alt 'R -3 m'
_space_group_IT_number 166
_space_group_name_Hall '-R 3 2"'
loop_
_atom_site_label
_atom_site_type_symbol
_atom_site_fract_x
_atom_site_fract_y
_atom_site_fract_z
Tb1 Tb 0.0000 0.0000 0.2027
Ni1 Ni 0.0013 0.5007 0.1876
Ni2 Ni 0.0144 0.5072 0.6113
P1 P 0.0000 0.5000 0.0000
Rh1 Rh 0.0000 0.0000 0.5000
```

ρ = 8.302 g cm⁻³
DFT formation energy = -0.060 eV/atom
DFT total energy = -5.739 eV per atom


- Which value of DFT total energy does entry 3 give?
  -5.739 eV per atom